VASP calculation (GGA-PBE) on a relaxed La2Dy9Tm crystal.

Cell: 5.053 5.053 15.185 Å, 90.00 90.00 90.00°
Fractional coordinates of all 12 atoms:
1 La 0.000 0.000 0.333
2 La 0.000 0.000 0.667
3 Dy 0.500 0.500 0.331
4 Dy 0.500 0.000 0.162
5 Dy 0.000 0.500 0.162
6 Dy 0.500 0.000 0.500
7 Dy 0.000 0.500 0.838
8 Dy 0.500 0.500 0.669
9 Dy 0.500 0.500 0.000
10 Dy 0.000 0.500 0.500
11 Dy 0.500 0.000 0.838
12 Tm 0.000 0.000 0.000

Results
Its magnetic moment is 0.00 μB/cell. The crystal system is tetragonal. The total energy is -4.615 eV per atom. Its mass density is 8.18 g cm⁻³. As for the energy relative to the elements: 0.36 eV per formula unit.

=====

VASP calculation (GGA-PBE) on a relaxed TmSnHg crystal.

Cell: 4.096 5.843 7.915 Å, 67.33 75.00 69.48°
Fractional coordinates of all 6 atoms:
1 Hg 0.642 0.861 0.855
2 Hg 0.358 0.139 0.145
3 Sn 0.122 0.189 0.567
4 Sn 0.878 0.811 0.433
5 Tm 0.629 0.497 0.245
6 Tm 0.371 0.503 0.755

Results
Its magnetic moment is 0.00 μB/cell. The crystal system is monoclinic. The total energy is -3.210 eV per atom. Its mass density is 10.01 g cm⁻³. As for the energy relative to the elements: -0.86 eV per formula unit.

=====

VASP calculation (GGA-PBE) on a relaxed La2TbNd5Ho crystal.

Cell: 5.749 10.636 10.854 Å, 90.00 90.00 105.68°
Fractional coordinates of all 18 atoms:
1 Ho 0.592 0.185 0.963
2 Ho 0.408 0.815 0.463
3 Tb 0.200 0.401 0.010
4 Tb 0.800 0.599 0.510
5 Nd 0.482 0.964 0.743
6 Nd 0.386 0.772 0.022
7 Nd 0.704 0.409 0.203
8 Nd 0.518 0.036 0.243
9 Nd 0.722 0.443 0.811
10 Nd 0.015 0.031 0.020
11 Nd 0.614 0.228 0.522
12 Nd 0.278 0.557 0.311
13 Nd 0.985 0.969 0.520
14 Nd 0.296 0.591 0.703
15 La 0.117 0.235 0.317
16 La 0.883 0.765 0.817
17 La 0.114 0.228 0.735
18 La 0.886 0.772 0.235

Results
Its magnetic moment is 0.00 μB/cell. The crystal system is orthorhombic. The total energy is -4.643 eV per atom. Its mass density is 6.88 g cm⁻³. As for the energy relative to the elements: 1.11 eV per formula unit.

=====

VASP calculation (GGA-PBE) on a relaxed CoSbP2 crystal.

Cell: 3.593 3.593 7.677 Å, 105.67 105.67 54.08°
Fractional coordinates of all 4 atoms:
1 Co 0.250 0.250 0.250
2 P 0.608 0.608 0.378
3 P 0.892 0.892 0.122
4 Sb 0.750 0.750 0.750

Results
Its magnetic moment is 0.00 μB/cell. The crystal system is monoclinic. The total energy is -5.571 eV per atom. Its mass density is 5.27 g cm⁻³.

=====

VASP calculation (GGA-PBE) on a relaxed RbMgN3 crystal.

Cell: 4.345 4.345 4.345 Å, 90.00 90.00 90.00°
Fractional coordinates of all 5 atoms:
1 Rb 0.500 0.500 0.500
2 N 0.000 0.000 0.500
3 N 0.000 0.500 0.000
4 N 0.500 0.000 0.000
5 Mg 0.000 0.000 0.000

Results
Its magnetic moment is 6.00 μB/cell. The crystal system is cubic. The total energy is -4.069 eV per atom. Its mass density is 3.07 g cm⁻³.